A plane-wave DFT calculation with PBE with a Hubbard U was carried out for an optimized crystal structure of FeOsO.

```
FeOsO
1.0
2.8787 0.0000 0.0000
0.0000 6.4056 0.0000
0.0000 0.0000 4.0202
Fe Os O
2 2 2
direct
0.5000 0.1844 0.3363
0.0000 0.8156 0.8363
0.0000 0.4134 0.7838
0.5000 0.5866 0.2838
0.0000 0.1127 0.0189
0.5000 0.8873 0.5189
```

Results
N(E_F) in states/eV/cell: 1.46
Total magnetization in μB/cell: 7.80
VASP energy in eV per atom: -7.564
Distance to the lowest polymorph of the same formula in kJ/mol of atoms: 2.6